1.
Compound: Li4TcW
Source: Alexandria via LeMat-Bulk
Functional: PBE-GGA
Structure: optimized geometry

```
6
Lattice="0.000 3.355 3.355 3.355 0.000 3.355 3.355 3.355 0.000" Properties=species:S:1:pos:R:3 pbc="T T T"
Li 2.522 4.188 4.188
Li 4.188 4.188 2.522
Li 4.188 2.522 4.188
Li 2.522 2.522 2.522
Tc 5.032 5.032 5.032
W 0.000 0.000 0.000
```

Results
- Magnetic moment: 0.00 μB/f.u.
- Energy relative to the elements: 0.4944 eV per atom

***

2.
Compound: LiTc2W
Source: Alexandria via LeMat-Bulk
Functional: PBE-GGA
Structure: optimized geometry

```
4
Lattice="3.163 0.000 0.000 0.000 3.163 0.000 0.000 0.000 5.641" Properties=species:S:1:pos:R:3 pbc="T T T"
Li 1.581 1.582 4.231
Tc 0.000 0.000 5.542
Tc 0.000 0.000 2.919
W 1.581 1.582 1.410
```

Results
- Magnetic moment: 0.00 μB/f.u.
- Energy relative to the elements: 0.2275 eV per atom

***

3.
Compound: LiTc2W
Source: Alexandria via LeMat-Bulk
Functional: PBE-GGA
Structure: optimized geometry

```
4
Lattice="4.357 0.000 0.000 0.000 2.623 0.000 0.000 0.917 5.069" Properties=species:S:1:pos:R:3 pbc="T T T"
Li 2.178 2.686 3.828
Tc 0.000 0.946 5.017
Tc 2.178 0.859 1.262
W 0.000 1.737 2.567
```

Results
- Magnetic moment: 0.00 μB/f.u.
- Energy relative to the elements: 0.2267 eV per atom

***

4.
Compound: LiTcW2
Source: Alexandria via LeMat-Bulk
Functional: PBE-GGA
Structure: optimized geometry

```
8
Lattice="-3.828 4.734 3.687 0.392 -4.167 5.757 0.497 1.504 5.455" Properties=species:S:1:pos:R:3 pbc="T T T"
Tc 0.000 0.000 0.000
Tc -2.525 3.261 6.932
W -2.329 2.949 4.493
W 0.000 -1.772 5.317
W -0.927 1.460 7.469
W -2.623 1.505 12.520
Li -1.718 0.283 4.722
Li -0.415 -1.190 7.967
```

Results
- Magnetic moment: 0.00 μB/f.u.
- Energy relative to the elements: 0.9635 eV per atom

***

5.
Compound: LiTc2W
Source: Alexandria via LeMat-Bulk
Functional: PBE-GGA
Structure: optimized geometry

```
4
Lattice="9.207 -0.026 -0.015 8.789 2.742 -0.015 8.789 1.326 2.399" Properties=species:S:1:pos:R:3 pbc="T T T"
Li 20.089 3.032 1.777
Tc 26.703 4.030 2.362
Tc 13.475 2.034 1.192
W 6.696 1.011 0.592
```

Results
- Magnetic moment: 0.00 μB/f.u.
- Energy relative to the elements: 0.3010 eV per atom

***

6.
Compound: LiTcW
Source: Alexandria via LeMat-Bulk
Functional: PBE-GGA
Structure: optimized geometry

```
3
Lattice="-6.867 -1.056 1.196 -5.138 -3.031 3.756 5.977 3.487 -1.346" Properties=species:S:1:pos:R:3 pbc="T T T"
Li -11.977 -4.078 4.941
Tc -4.025 -1.371 1.661
W -8.007 -2.726 3.304
```

Results
- Magnetic moment: 0.00 μB/f.u.
- Energy relative to the elements: 0.5326 eV per atom

***

7.
Compound: LiTc2W
Source: Alexandria via LeMat-Bulk
Functional: PBE-GGA
Structure: optimized geometry

```
4
Lattice="2.673 0.000 0.000 0.000 4.141 0.000 0.000 0.000 5.217" Properties=species:S:1:pos:R:3 pbc="T T T"
Li 1.337 2.070 3.928
Tc 0.000 0.000 5.206
Tc 1.337 2.070 1.274
W 0.000 0.000 2.633
```

Results
- Magnetic moment: 0.00 μB/f.u.
- Energy relative to the elements: 0.3021 eV per atom

***

8.
Compound: Li3YTc
Source: Alexandria via LeMat-Bulk
Functional: PBE-GGA
Structure: optimized geometry

```
5
Lattice="4.516 0.000 0.000 0.000 4.516 0.000 0.000 0.000 4.516" Properties=species:S:1:pos:R:3 pbc="T T T"
Y 0.000 0.000 0.000
Tc 2.258 2.258 2.258
Li 0.000 2.258 0.000
Li 0.000 0.000 2.258
Li 2.258 0.000 0.000
```

Results
- Magnetic moment: 0.00 μB/f.u.
- Energy relative to the elements: 1.7729 eV per atom

***

9.
Compound: LiYTc2
Source: Alexandria via LeMat-Bulk
Functional: PBE-GGA
Structure: optimized geometry

```
8
Lattice="-0.850 2.532 2.783 -3.754 -0.757 -0.458 -1.680 -6.246 7.842" Properties=species:S:1:pos:R:3 pbc="T T T"
Y 0.000 0.000 0.000
Y -2.416 -1.414 5.894
Tc -1.377 -0.202 3.501
Tc -2.916 -1.590 2.163
Tc -3.177 -4.058 6.730
Tc -5.098 -3.093 7.939
Li -2.302 0.887 1.162
Li -3.868 -3.058 4.273
```

Results
- Magnetic moment: 0.00 μB/f.u.
- Energy relative to the elements: 0.5483 eV per atom

***

10.
Compound: Li2YTc
Source: Alexandria via LeMat-Bulk
Functional: PBE-GGA
Structure: optimized geometry

```
4
Lattice="-1.200 2.387 0.852 -1.082 -0.872 -2.435 -7.099 -5.383 5.082" Properties=species:S:1:pos:R:3 pbc="T T T"
Li -0.242 -0.183 0.173
Li -3.308 -2.508 2.368
Tc -2.916 -0.588 0.479
Y -6.465 -3.280 3.020
```

Results
- Magnetic moment: 0.00 μB/f.u.
- Energy relative to the elements: 0.5655 eV per atom

***

11.
Compound: Li2YTc
Source: Alexandria via LeMat-Bulk
Functional: PBE-GGA
Structure: optimized geometry

```
4
Lattice="-1.362 0.372 -4.918 -2.694 -4.109 -1.429 -0.438 3.213 3.958" Properties=species:S:1:pos:R:3 pbc="T T T"
Li 0.000 0.000 0.000
Li -2.580 -1.382 -0.322
Tc -2.028 -1.869 -3.174
Y -1.914 0.858 -2.067
```

Results
- Magnetic moment: 0.00 μB/f.u.
- Energy relative to the elements: 0.3780 eV per atom

***

12.
Compound: LiYTc2
Source: Alexandria via LeMat-Bulk
Functional: PBE-GGA
Structure: optimized geometry

```
4
Lattice="-3.852 2.198 1.571 -2.160 -2.193 -2.228 -0.309 -2.546 2.804" Properties=species:S:1:pos:R:3 pbc="T T T"
Li -2.080 -0.174 2.188
Tc 0.000 0.000 0.000
Tc -1.235 -2.369 0.288
Y -3.006 0.003 -0.328
```

Results
- Magnetic moment: 0.00 μB/f.u.
- Energy relative to the elements: 0.2663 eV per atom